Entry 1:
The following is a GGA-PBE calculation of a geometry-optimized ZnIn2Cl2F2 structure, from Alexandria.

## Properties
Energy relative to the elements, uncorrected: -1457 meV/atom
Total magnetization: 0.00 μB/cell
Fermi-level density of states: 0.00 states/eV/atom
Uncorrected energy: -48.77 eV per cell

Cell: 12.7640 3.6411 8.2282 Å, 90.00 122.68 90.00°
Space group C2/m (No. 12)
Unique sites:
Zn: 0.0000 0.0000 0.0000 (multiplicity 2)
In: 0.1744 0.0000 0.7339 (multiplicity 4)
Cl: 0.0662 0.5000 0.2430 (multiplicity 4)
F: 0.1780 0.0000 0.0463 (multiplicity 4)



Entry 2:
The following is a GGA-PBE calculation of a geometry-optimized ZrIn2Cl5F structure, from Alexandria.

## Properties
Energy relative to the elements, uncorrected: -1618 meV/atom
Total magnetization: 0.00 μB/cell
Fermi-level density of states: 0.00 states/eV/atom
Uncorrected energy: -79.39 eV per cell

Cell: 7.2583 7.2583 10.3654 Å, 90.00 90.00 90.00°
Space group I4mm (No. 107)
Unique sites:
Zr: 0.0000 0.0000 0.0000 (multiplicity 2)
In: 0.0000 0.5000 0.1963 (multiplicity 4)
Cl: 0.0000 0.0000 0.2420 (multiplicity 2)
Cl: 0.2441 0.2441 0.0091 (multiplicity 8)
F: 0.0000 0.0000 0.8093 (multiplicity 2)



Entry 3:
The following is a GGA-PBE calculation of a geometry-optimized ZrIn2Cl4F2 structure, from Alexandria.

## Properties
Energy relative to the elements, uncorrected: -1870 meV/atom
Total magnetization: 0.00 μB/cell
Fermi-level density of states: 0.00 states/eV/atom
Uncorrected energy: -83.96 eV per cell

Cell: 11.8198 7.4892 5.7942 Å, 90.00 102.98 90.00°
Space group C2/m (No. 12)
Unique sites:
Zr: 0.0000 0.0000 0.0000 (multiplicity 2)
In: 0.2123 0.5000 0.3090 (multiplicity 4)
Cl: 0.1008 0.2371 0.8149 (multiplicity 8)
F: 0.1345 0.0000 0.2863 (multiplicity 4)



Entry 4:
The following is a GGA-PBE calculation of a geometry-optimized IrCl3F structure, from Alexandria.

## Properties
Energy relative to the elements, uncorrected: 1251 meV/atom
Total magnetization: 2.94 μB/cell
Fermi-level density of states: 1.51 states/eV/atom
Uncorrected energy: -10.02 eV per cell

Cell: 4.6206 4.6206 4.6206 Å, 90.00 90.00 90.00°
Space group Pm-3m (No. 221)
Unique sites:
Ir: 0.0000 0.0000 0.0000 (multiplicity 1)
Cl: 0.0000 0.5000 0.5000 (multiplicity 3)
F: 0.5000 0.5000 0.5000 (multiplicity 1)